Entry 1:
A relaxed Mo2HWAu crystal, computed with PBE-GGA.

Unit cell a=4.047 b=4.047 c=4.054 alpha=90.00 beta=90.00 gamma=90.00
Sites, in units of the cell vectors:
H 0.000 0.000 0.000
Mo 0.000 0.500 0.000
Mo 0.500 0.000 0.000
Au 0.500 0.500 0.500
W 0.000 0.000 0.500

Calculated values
Crystal system: tetragonal
Raw total energy in Ha/atom: -0.297
SG: No. 123
Magnetic moment in μB/cell: 0.00

=====

Entry 2:
A relaxed PmMgPb crystal, computed with PBE-GGA.

Unit cell a=3.634 b=3.634 c=6.869 alpha=105.34 beta=105.34 gamma=90.00
Sites, in units of the cell vectors:
Pb 0.604 0.604 0.207
Mg 0.962 0.962 0.923
Pm 0.285 0.285 0.570

Calculated values
ΔE to the lowest computed polymorph in meV/atom: 240.1
E_form in meV per atom: -231.1
Crystal system: tetragonal
Raw total energy in Ha/atom: -0.132
SG: No. 107
Magnetic moment in μB/cell: 0.00

=====

Entry 3:
A relaxed NdYGa2Ni2 crystal, computed with PBE-GGA.

Unit cell a=4.312 b=4.312 c=7.274 alpha=90.00 beta=90.00 gamma=120.00
Sites, in units of the cell vectors:
Nd 0.000 0.000 0.000
Y 0.000 0.000 0.500
Ga 0.667 0.333 0.734
Ga 0.333 0.667 0.266
Ni 0.667 0.333 0.268
Ni 0.333 0.667 0.732

Calculated values
E_form in meV per atom: -571.7
Crystal system: trigonal
Raw total energy in Ha/atom: -0.198
SG: No. 164
Magnetic moment in μB/cell: 0.00

=====

Entry 4:
A relaxed CaTe2Ir crystal, computed with PBE-GGA.

Unit cell a=8.039 b=8.039 c=4.695 alpha=54.16 beta=54.16 gamma=30.09
Sites, in units of the cell vectors:
Ca 0.512 0.512 0.475
Ir 0.664 0.664 0.671
Te 0.030 0.030 0.940
Te 0.294 0.294 0.414

Calculated values
ΔE to the lowest computed polymorph in meV/atom: 49.5
Formation energy from raw total energies in eV/atom: -0.53
Crystal system: monoclinic
Raw total energy in Ha/atom: -0.177
SG: No. 8
Magnetic moment in μB/cell: 0.00